(1)
The following is a DFT calculation (GGA-PBE) of a geometry-optimized CsBa2Ac structure.

Values from the calculation:
Space-group type = R-3m
Formation enthalpy at 0 K = 0.7 eV/f.u.

Structure (CIF):
```
data_CsBa2Ac
_chemical_formula_sum 'Cs1 Ba2 Ac1'
_cell_length_a 4.3203
_cell_length_b 4.3203
_cell_length_c 15.6984
_cell_angle_alpha 82.09
_cell_angle_beta 82.09
_cell_angle_gamma 60.00
_space_group_name_H-M_alt 'P 1'
_space_group_IT_number 1
loop_
_space_group_symop_operation_xyz
'x,y,z'
loop_
_atom_site_label
_atom_site_type_symbol
_atom_site_fract_x
_atom_site_fract_y
_atom_site_fract_z
_atom_site_occupancy
Ba1 Ba 0.0946 0.0946 0.7163 1
Ba2 Ba 0.9054 0.9054 0.2837 1
Ac1 Ac 0.5000 0.5000 0.5000 1
Cs1 Cs 0.0000 0.0000 0.0000 1
```

(2)
The following is a DFT calculation (GGA-PBE) of a geometry-optimized CsBa2Ac structure.

Values from the calculation:
Space-group type = P4/mmm
Formation enthalpy at 0 K = 0.6 eV/f.u.

Structure (CIF):
```
data_CsBa2Ac
_chemical_formula_sum 'Cs1 Ba2 Ac1'
_cell_length_a 4.3309
_cell_length_b 4.3309
_cell_length_c 13.6684
_cell_angle_alpha 90.00
_cell_angle_beta 90.00
_cell_angle_gamma 90.00
_space_group_name_H-M_alt 'P 1'
_space_group_IT_number 1
loop_
_space_group_symop_operation_xyz
'x,y,z'
loop_
_atom_site_label
_atom_site_type_symbol
_atom_site_fract_x
_atom_site_fract_y
_atom_site_fract_z
_atom_site_occupancy
Ba1 Ba 0.0000 0.0000 0.7917 1
Ba2 Ba 0.0000 0.0000 0.2083 1
Ac1 Ac 0.5000 0.5000 0.0000 1
Cs1 Cs 0.5000 0.5000 0.5000 1
```

(3)
The following is a DFT calculation (GGA-PBE) of a geometry-optimized Cs2BaAcF6 structure.

Values from the calculation:
Uncorrected formation energy = -3.25 eV/atom
Space-group type = C2/m

Structure (CIF):
```
data_Cs2BaAcF6
_chemical_formula_sum 'Cs2 Ba1 Ac1 F6'
_cell_length_a 7.2557
_cell_length_b 7.2550
_cell_length_c 7.2481
_cell_angle_alpha 60.05
_cell_angle_beta 60.02
_cell_angle_gamma 90.00
_space_group_name_H-M_alt 'P 1'
_space_group_IT_number 1
loop_
_space_group_symop_operation_xyz
'x,y,z'
loop_
_atom_site_label
_atom_site_type_symbol
_atom_site_fract_x
_atom_site_fract_y
_atom_site_fract_z
_atom_site_occupancy
F1 F 0.7395 0.7391 0.0004 1
Cs1 Cs 0.7503 0.2507 0.4995 1
Ba1 Ba 0.0000 0.0000 0.0000 1
F2 F 0.7399 0.2609 0.9996 1
Ac1 Ac 0.5000 0.5000 0.0000 1
F3 F 0.2605 0.2609 0.9996 1
F4 F 0.2604 0.2608 0.4791 1
Cs2 Cs 0.2497 0.7493 0.5005 1
F5 F 0.7396 0.7392 0.5209 1
F6 F 0.2601 0.7391 0.0004 1
```

(4)
The following is a DFT calculation (GGA-PBE) of a geometry-optimized Cs3BaAc2S6 structure.

Values from the calculation:
Uncorrected formation energy = -1.66 eV/atom
Space-group type = C2/m

Structure (CIF):
```
data_Cs3BaAc2S6
_chemical_formula_sum 'Cs3 Ba1 Ac2 S6'
_cell_length_a 7.9073
_cell_length_b 7.9073
_cell_length_c 8.5166
_cell_angle_alpha 98.90
_cell_angle_beta 98.90
_cell_angle_gamma 119.99
_space_group_name_H-M_alt 'P 1'
_space_group_IT_number 1
loop_
_space_group_symop_operation_xyz
'x,y,z'
loop_
_atom_site_label
_atom_site_type_symbol
_atom_site_fract_x
_atom_site_fract_y
_atom_site_fract_z
_atom_site_occupancy
S1 S 0.0655 0.4174 0.1963 1
Cs1 Cs 0.8372 0.1628 0.5000 1
Ba1 Ba 0.0000 0.0000 0.0000 1
Cs2 Cs 0.5000 0.5000 0.5000 1
Ac1 Ac 0.6670 0.3330 0.0000 1
S2 S 0.2867 0.2867 0.8051 1
S3 S 0.7133 0.7133 0.1949 1
Cs3 Cs 0.1628 0.8372 0.5000 1
Ac2 Ac 0.3330 0.6670 0.0000 1
S4 S 0.9345 0.5826 0.8037 1
S5 S 0.5826 0.9345 0.8037 1
S6 S 0.4174 0.0655 0.1963 1
```

(5)
The following is a DFT calculation (GGA-PBE) of a geometry-optimized CsBa3Ac2S6 structure.

Values from the calculation:
Uncorrected formation energy = -1.94 eV/atom
Space-group type = C2/m

Structure (CIF):
```
data_CsBa3Ac2S6
_chemical_formula_sum 'Cs1 Ba3 Ac2 S6'
_cell_length_a 4.4994
_cell_length_b 9.1342
_cell_length_c 10.0366
_cell_angle_alpha 101.84
_cell_angle_beta 102.95
_cell_angle_gamma 90.00
_space_group_name_H-M_alt 'P 1'
_space_group_IT_number 1
loop_
_space_group_symop_operation_xyz
'x,y,z'
loop_
_atom_site_label
_atom_site_type_symbol
_atom_site_fract_x
_atom_site_fract_y
_atom_site_fract_z
_atom_site_occupancy
S1 S 0.9865 0.7231 0.9731 1
S2 S 0.0135 0.2769 0.0269 1
Cs1 Cs 0.5000 0.0000 0.0000 1
Ba1 Ba 0.1604 0.8373 0.3207 1
S3 S 0.6718 0.5744 0.3436 1
S4 S 0.3282 0.4256 0.6564 1
Ba2 Ba 0.5000 0.5000 0.0000 1
Ac1 Ac 0.1675 0.3349 0.3350 1
Ba3 Ba 0.8396 0.1627 0.6793 1
S5 S 0.3227 0.8895 0.6454 1
Ac2 Ac 0.8325 0.6651 0.6650 1
S6 S 0.6773 0.1105 0.3546 1
```

(6)
The following is a DFT calculation (GGA-PBE) of a geometry-optimized CsBa3Ac2Se6 structure.

Values from the calculation:
Uncorrected formation energy = -1.88 eV/atom
Space-group type = C2/m

Structure (CIF):
```
data_CsBa3Ac2Se6
_chemical_formula_sum 'Cs1 Ba3 Ac2 Se6'
_cell_length_a 4.6552
_cell_length_b 9.4634
_cell_length_c 10.3929
_cell_angle_alpha 101.89
_cell_angle_beta 102.94
_cell_angle_gamma 90.00
_space_group_name_H-M_alt 'P 1'
_space_group_IT_number 1
loop_
_space_group_symop_operation_xyz
'x,y,z'
loop_
_atom_site_label
_atom_site_type_symbol
_atom_site_fract_x
_atom_site_fract_y
_atom_site_fract_z
_atom_site_occupancy
Cs1 Cs 0.5000 0.0000 0.0000 1
Ba1 Ba 0.1602 0.8371 0.3204 1
Ac1 Ac 0.8327 0.6648 0.6653 1
Se1 Se 0.9881 0.7257 0.9761 1
Ba2 Ba 0.5000 0.5000 0.0000 1
Ac2 Ac 0.1673 0.3352 0.3347 1
Se2 Se 0.6765 0.1086 0.3530 1
Se3 Se 0.0119 0.2743 0.0239 1
Ba3 Ba 0.8398 0.1629 0.6796 1
Se4 Se 0.3235 0.8914 0.6470 1
Se5 Se 0.6713 0.5758 0.3426 1
Se6 Se 0.3287 0.4242 0.6574 1
```

Quick rundown of volume, same order as above: 62.631 64.094 27.008 36.548 32.749 36.346 Å³ per atom
Quick rundown of total energy, same order as above: -2.030 -2.060 -5.149 -4.785 -5.236 -4.858 eV per atom